VASP calculation (PBE with a Hubbard U) on an optimized crystal structure of TmMn2BiO8.

Results
Electronic total energy, eV/atom: -6.697

a b c (Å): 5.6817 5.6817 6.7369
angles (deg): 90.00 90.00 120.00
With the nearest neighbours (Å) after each atom.
Fractional coordinates of all 12 atoms:
Tm1 0.0000 0.0000 0.0000  6 O 2.22
Mn1 0.3333 0.6667 0.3037  4 O 1.63-1.75
Mn2 0.6667 0.3333 0.6963  4 O 1.63-1.75
Bi1 0.0000 0.0000 0.5000  6 O 2.44
O1 0.1636 0.3273 0.2272  1 Mn 1.75
O2 0.1636 0.8364 0.2272  1 Mn 1.75
O3 0.3273 0.1636 0.7728  1 Mn 1.75
O4 0.3333 0.6667 0.5464  1 Mn 1.63
O5 0.6667 0.3333 0.4536  1 Mn 1.63
O6 0.6727 0.8364 0.2272  1 Mn 1.75
O7 0.8364 0.1636 0.7728  1 Mn 1.75
O8 0.8364 0.6727 0.7728  1 Mn 1.75